## RbScMo2 (PBE-GGA)

Data for a relaxed structure of RbScMo2.

Output
For the density, the calculation gives 5.9 g/cm3. The calculation puts the density of states at the Fermi level at 5.36 states/eV/f.u. The calculation puts the total DFT energy (no corrections) at -42.73 eV/cell. Its formation energy is 1.900 eV per atom. The value obtained for the relative energy among the computed polymorphs is 44 meV/atom.

```
RbScMo2
1.0
8.253 0.000 0.000
0.000 8.253 0.000
4.127 4.127 2.679
Sc Mo Rb
2 4 2
direct
0.500 0.500 0.000
0.250 0.750 0.500
0.152 0.625 0.250
0.875 0.848 0.750
0.598 0.125 0.250
0.375 0.402 0.750
0.750 0.250 0.500
0.000 0.000 0.000
```


## CuPPt2 (PBE-GGA)

Data for a relaxed structure of CuPPt2.

Output
For the density, the calculation gives 14.2 g/cm3. The calculation puts the density of states at the Fermi level at 2.92 states/eV/f.u. The calculation puts the total DFT energy (no corrections) at -21.79 eV/cell. Its formation energy is -0.049 eV per atom. The value obtained for the relative energy among the computed polymorphs is 135 meV/atom.

```
CuPPt2
1.0
0.509 -4.121 -1.174
0.400 -3.067 3.009
-3.193 -2.834 0.631
P Cu Pt
1 1 2
direct
0.000 0.000 0.000
0.500 0.500 0.500
0.250 0.250 0.250
0.750 0.750 0.750
```


## Bi3RuPt (PBE-GGA)

Data for a relaxed structure of Bi3RuPt.

Output
For the density, the calculation gives 11.0 g/cm3. The calculation puts the density of states at the Fermi level at 3.72 states/eV/f.u. The calculation puts the total DFT energy (no corrections) at -23.68 eV/cell. Its formation energy is 0.656 eV per atom. The value obtained for the relative energy among the computed polymorphs is 0 meV/atom.

```
Bi3RuPt
1.0
-3.144 -4.010 0.973
0.366 -1.490 -4.956
4.111 -2.935 1.186
Bi Ru Pt
3 1 1
direct
0.500 0.000 0.000
0.000 0.000 0.500
0.000 0.500 0.000
0.000 0.000 0.000
0.500 0.500 0.500
```


## TlTe2N2 (PBE-GGA)

Data for a relaxed structure of TlTe2N2.

Output
For the density, the calculation gives 5.1 g/cm3. The energy relative to the elements, uncorrected is 2.2249 eV per atom. The calculation puts the density of states at the Fermi level at 5.11 states/eV/f.u. The calculation puts the total DFT energy (no corrections) at -14.18 eV/cell. The value obtained for the relative energy among the computed polymorphs is 948 meV/atom.

```
TlTe2N2
1.0
-4.227 -4.248 -0.930
4.328 -4.235 -0.327
-0.296 -0.629 4.220
Te N Tl
2 2 1
direct
0.500 0.000 0.000
0.000 0.500 0.000
0.000 0.000 0.500
0.500 0.500 0.500
0.000 0.000 0.000
```


## CeDy2Zn (PBE-GGA)

Data for a relaxed structure of CeDy2Zn.

Output
For the density, the calculation gives 8.2 g/cm3. The calculation puts the density of states at the Fermi level at 7.21 states/eV/f.u. The calculation puts the total DFT energy (no corrections) at -16.89 eV/cell. Its formation energy is -0.120 eV per atom. The value obtained for the relative energy among the computed polymorphs is 0 meV/atom.

```
CeDy2Zn
1.0
-1.245 3.168 0.921
-3.176 -0.885 -1.250
-2.177 -3.099 7.722
Dy Ce Zn
2 1 1
direct
0.000 0.000 0.209
0.000 0.000 0.791
0.500 0.500 0.500
0.500 0.500 0.000
```


## LiTb6S8 (PBE-GGA)

Data for a relaxed structure of LiTb6S8.

Output
For the density, the calculation gives 6.3 g/cm3. The energy relative to the elements, uncorrected is -1.9175 eV per atom. The calculation puts the density of states at the Fermi level at 4.08 states/eV/f.u. The calculation puts the total DFT energy (no corrections) at -91.48 eV/cell. The value obtained for the relative energy among the computed polymorphs is 89 meV/atom.

```
LiTb6S8
1.0
8.155 0.000 0.000
4.077 7.062 0.000
4.077 2.354 5.570
Tb S Li
6 8 1
direct
0.538 0.917 0.245
0.462 0.083 0.755
0.083 0.700 0.755
0.700 0.462 0.755
0.300 0.538 0.245
0.917 0.300 0.245
0.673 0.673 0.982
0.185 0.906 0.264
0.815 0.094 0.736
0.094 0.355 0.736
0.645 0.185 0.264
0.906 0.645 0.264
0.327 0.327 0.018
0.355 0.815 0.736
0.000 0.000 0.000
```


Q: The highest total DFT energy (no corrections) belongs to which entry?
A: TlTe2N2